An optimized crystal structure of YHg2PbF, computed with PBE.

a b c (Å): 5.913 5.913 6.159
angles (deg): 90.00 90.00 90.00
Positions (direct):
Y 0.000 0.000 0.000
Hg 0.000 0.500 0.000
Hg 0.500 0.000 0.000
Pb 0.000 0.000 0.500
F 0.500 0.500 0.500

Values from the calculation:
raw formation energy = 0.12 eV/atom
DOS(E_F) = 1.191 states/eV/atom
total energy = -2.4135 eV per atom